Record 1
A plane-wave DFT calculation with PBE was carried out for a relaxed PuMgH8Rh2 crystal.

The structure belongs to space group R-3 (No. 148, hexagonal axes); the cell edges are 4.8071, 4.8071 and 16.5908 Å and the angles 90.00°, 90.00° and 120.00°. The inequivalent atoms are Pu at (0.0000, 0.0000, 0.0000), Mg at (0.0000, 0.0000, 0.5000), H at (0.0000, 0.0000, 0.3051), H at (0.0231, 0.7455, 0.8838) and Rh at (0.0000, 0.0000, 0.2011).

Its total energy is -4.976 eV/atom. For the spin magnetization, the calculation gives 6.006 μB per formula unit.

---

Record 2
A plane-wave DFT calculation with PBE was carried out for a relaxed BaOs2Se crystal.

The structure belongs to space group I-42d (No. 122); the cell edges are 4.9597, 4.9597 and 17.0289 Å and the angles 90.00°, 90.00° and 90.00°. The inequivalent atoms are Ba at (0.0000, 0.0000, 0.0000), Os at (0.0280, 0.7500, 0.6250) and Se at (0.0000, 0.0000, 0.5000).

Its uncorrected formation energy is 0.36 eV per atom. For the spin magnetization, the calculation gives 0.000 μB per formula unit.

---

Record 3
A plane-wave DFT calculation with PBE was carried out for a relaxed AlTe2Br crystal.

The structure belongs to space group C2/m (No. 12); the cell edges are 11.3573, 3.7298 and 5.6900 Å and the angles 90.00°, 101.77° and 90.00°. The inequivalent atoms are Al at (0.0000, 0.0000, 0.0000), Te at (0.1811, 0.5000, 0.1544) and Br at (0.0000, 0.5000, 0.5000).

Its uncorrected formation energy is -0.12 eV per atom. For the spin magnetization, the calculation gives 0.000 μB per formula unit.